Record 1
A relaxed structure of Cd2BiPb5, computed with GGA-PBE.

Calculated volume, Å³/cell: 480.5
Spin magnetization, μB/f.u.: 0.000
Calculated total energy, eV/atom: -2.991
Crystal system: orthorhombic
SG: No. 55
DOS at the Fermi energy, states/eV/cell: 7.3
Energy relative to the elements, eV/atom: 0.0406

```
Cd2BiPb5
1.0
9.9352 0.0000 0.0000
0.0000 14.0105 0.0000
0.0000 0.0000 3.4522
Cd Bi Pb
4 2 10
direct
0.2489 0.1250 0.0000
0.2511 0.6250 0.0000
0.7489 0.3750 0.0000
0.7511 0.8750 0.0000
0.0000 0.5000 0.5000
0.5000 0.0000 0.5000
0.0000 0.0000 0.5000
0.0001 0.2511 0.5000
0.9999 0.7489 0.5000
0.2493 0.8758 0.0000
0.2507 0.3758 0.0000
0.5001 0.2489 0.5000
0.5000 0.5000 0.5000
0.4999 0.7511 0.5000
0.7493 0.6242 0.0000
0.7507 0.1242 0.0000
```


Record 2
A relaxed structure of RbGa2F2, computed with GGA-PBE.

Calculated volume, Å³/cell: 231.6
Spin magnetization, μB/f.u.: 0.000
Calculated total energy, eV/atom: -3.384
Crystal system: tetragonal
Polymorph energy (0 for the lowest one), eV/atom: 0.000
SG: No. 139
DOS at the Fermi energy, states/eV/cell: 8.3
Formation energy without anion corrections, eV per atom: -1.2315

```
RbGa2F2
1.0
4.6985 0.0000 0.0000
0.0000 4.6985 0.0000
0.0000 0.0000 10.4930
Rb Ga F
2 4 4
direct
0.0000 0.0000 0.0000
0.5000 0.5000 0.5000
0.0000 0.0000 0.3348
0.0000 0.0000 0.6652
0.5000 0.5000 0.1652
0.5000 0.5000 0.8348
0.0000 0.5000 0.2500
0.0000 0.5000 0.7500
0.5000 0.0000 0.2500
0.5000 0.0000 0.7500
```


Record 3
A relaxed structure of LiMgAg2, computed with GGA-PBE.

Calculated volume, Å³/cell: 71.3
Spin magnetization, μB/f.u.: 0.000
Calculated total energy, eV/atom: -2.465
Crystal system: orthorhombic
SG: No. 25
DOS at the Fermi energy, states/eV/cell: 1.3
Energy relative to the elements, eV/atom: -0.1626

```
LiMgAg2
1.0
3.0100 0.0000 0.0000
0.0000 4.0863 0.0000
0.0000 0.0000 5.7967
Li Mg Ag
1 1 2
direct
0.0000 0.0000 0.0000
0.5000 0.5000 0.2893
0.0000 0.0000 0.5189
0.5000 0.5000 0.7921
```


Record 4
A relaxed structure of Ac4TlAu5, computed with GGA-PBE.

Calculated volume, Å³/cell: 288.7
Spin magnetization, μB/f.u.: 0.000
Calculated total energy, eV/atom: -4.176
Crystal system: tetragonal
SG: No. 123
DOS at the Fermi energy, states/eV/cell: 5.2
Energy relative to the elements, eV/atom: -0.6573

```
Ac4TlAu5
1.0
3.9078 0.0000 0.0000
0.0000 3.9078 0.0000
0.0000 0.0000 18.9045
Ac Tl Au
4 1 5
direct
0.0000 0.0000 0.1038
0.0000 0.0000 0.3124
0.0000 0.0000 0.6876
0.0000 0.0000 0.8962
0.0000 0.0000 0.5000
0.5000 0.5000 0.0000
0.5000 0.5000 0.2051
0.5000 0.5000 0.4028
0.5000 0.5000 0.5972
0.5000 0.5000 0.7949
```


Record 5
A relaxed structure of HfGe2BH, computed with GGA-PBE.

Calculated volume, Å³/cell: 98.7
Spin magnetization, μB/f.u.: 0.000
Calculated total energy, eV/atom: -4.742
Crystal system: tetragonal
SG: No. 123
DOS at the Fermi energy, states/eV/cell: 2.2

```
HfGe2BH
1.0
5.2616 0.0000 0.0000
0.0000 5.2616 0.0000
0.0000 0.0000 3.5663
Hf Ge B H
1 2 1 1
direct
0.0000 0.0000 0.0000
0.0000 0.5000 0.0000
0.5000 0.0000 0.0000
0.5000 0.5000 0.5000
0.0000 0.0000 0.5000
```


Record 6
A relaxed structure of TiSnPb2, computed with GGA-PBE.

Calculated volume, Å³/cell: 429.8
Spin magnetization, μB/f.u.: 1.134
Calculated total energy, eV/atom: -4.556
Crystal system: tetragonal
SG: No. 122
DOS at the Fermi energy, states/eV/cell: 14.1
Energy relative to the elements, eV/atom: 0.2730

```
TiSnPb2
1.0
4.3608 0.0000 0.0000
0.0000 4.3608 0.0000
0.0000 0.0000 22.6032
Ti Sn Pb
4 4 8
direct
0.0000 0.0000 0.0000
0.0000 0.5000 0.2500
0.5000 0.0000 0.7500
0.5000 0.5000 0.5000
0.0000 0.0000 0.5000
0.0000 0.5000 0.7500
0.5000 0.0000 0.2500
0.5000 0.5000 0.0000
0.2458 0.2500 0.1250
0.2500 0.7458 0.3750
0.2500 0.7542 0.8750
0.2542 0.2500 0.6250
0.7458 0.7500 0.6250
0.7500 0.2458 0.8750
0.7500 0.2542 0.3750
0.7542 0.7500 0.1250
```


Record 7
A relaxed structure of CsZnAgHg2, computed with GGA-PBE.

Calculated volume, Å³/cell: 164.7
Spin magnetization, μB/f.u.: 0.000
Calculated total energy, eV/atom: -1.140
Crystal system: tetragonal
Polymorph energy (0 for the lowest one), eV/atom: 0.008
SG: No. 123
DOS at the Fermi energy, states/eV/cell: 2.4
Energy relative to the elements, eV/atom: -0.0236

```
CsZnAgHg2
1.0
5.6577 0.0000 0.0000
0.0000 5.6577 0.0000
0.0000 0.0000 5.1455
Cs Zn Ag Hg
1 1 1 2
direct
0.0000 0.0000 0.0000
0.5000 0.5000 0.0000
0.5000 0.5000 0.5000
0.0000 0.5000 0.5000
0.5000 0.0000 0.5000
```


Record 8
A relaxed structure of As2PbW, computed with GGA-PBE.

Calculated volume, Å³/cell: 87.5
Spin magnetization, μB/f.u.: 0.000
Calculated total energy, eV/atom: -6.273
Crystal system: orthorhombic
SG: No. 25
DOS at the Fermi energy, states/eV/cell: 1.5
Energy relative to the elements, eV/atom: 0.2169

```
As2PbW
1.0
3.3446 0.0000 0.0000
0.0000 3.4160 0.0000
0.0000 0.0000 7.6600
As Pb W
2 1 1
direct
0.0000 0.0000 0.0000
0.0000 0.5000 0.3863
0.5000 0.5000 0.7167
0.5000 0.0000 0.2460
```